(1)
A relaxed Zr2MoPb crystal. Source: Alexandria via LeMat-Bulk, functional GGA-PBE. Values from VASP.

Summary:
The total energy is -30.44 eV/f.u. The density comes out at 9107 kg/m³.

Structure (Quantum ESPRESSO input):
```
&SYSTEM
  ibrav = 0, nat = 4, ntyp = 3
/
ATOMIC_SPECIES
Zr 91.22 Zr.upf
Mo 95.94 Mo.upf
Pb 207.20 Pb.upf
CELL_PARAMETERS angstrom
1.6592 0.9579 9.2845
-1.6592 0.9579 9.2845
0.0000 -1.9158 9.2845
ATOMIC_POSITIONS angstrom
Zr 0.0000 0.0000 0.0000
Zr 0.0000 0.0000 6.7917
Mo 0.0000 0.0000 20.5759
Pb 0.0000 0.0000 13.5172
```

---

(2)
A relaxed ZrMoPb2 crystal. Source: Alexandria via LeMat-Bulk, functional GGA-PBE. Values from VASP.

Summary:
The calculation puts the energy above the most stable polymorph in this dataset at 0.245 eV/atom. The density comes out at 11406 kg/m³.

Structure (Quantum ESPRESSO input):
```
&SYSTEM
  ibrav = 0, nat = 4, ntyp = 3
/
ATOMIC_SPECIES
Zr 91.22 Zr.upf
Mo 95.94 Mo.upf
Pb 207.20 Pb.upf
CELL_PARAMETERS angstrom
4.7388 0.0000 0.0000
0.0000 4.7388 0.0000
0.0000 0.0000 3.8999
ATOMIC_POSITIONS angstrom
Zr 0.0000 0.0000 0.0000
Mo 2.3694 2.3694 0.0000
Pb 0.0000 2.3694 1.9499
Pb 2.3694 0.0000 1.9499
```

---

(3)
A relaxed ZrMoPb2 crystal. Source: Alexandria via LeMat-Bulk, functional GGA-PBE. Values from VASP.

Summary:
The calculation puts the energy above the most stable polymorph in this dataset at 0.235 eV/atom. The density comes out at 11002 kg/m³.

Structure (Quantum ESPRESSO input):
```
&SYSTEM
  ibrav = 0, nat = 4, ntyp = 3
/
ATOMIC_SPECIES
Zr 91.22 Zr.upf
Mo 95.94 Mo.upf
Pb 207.20 Pb.upf
CELL_PARAMETERS angstrom
1.7448 -2.7323 0.0000
1.7448 2.7323 0.0000
0.0000 0.0000 9.5227
ATOMIC_POSITIONS angstrom
Zr 0.0000 0.0000 0.0000
Mo 0.0000 0.0000 4.7614
Pb 1.7448 0.0000 2.5141
Pb 1.7448 0.0000 7.0086
```